The following is a GGA-PBE calculation of a relaxed structure of LiV3In, from Alexandria via LeMat-Bulk.

The calculation puts the total magnetization at 0.059 μB/cell. As for the total energy: -5.43 eV per atom. For the density of states at the Fermi level, the calculation gives 1.6444 states/eV/atom. The excess energy over the best structure of this formula in the dataset is 0.0000 eV/atom.

The space group is Pm-3m (No. 221) and the conventional cell measures 4.234, 4.234 and 4.234 Å, with angles of 90.00, 90.00 and 90.00 degrees. Symmetry generates all atoms from Li at (0.000, 0.000, 0.000), V at (0.000, 0.000, 0.500) and In at (0.500, 0.500, 0.500).

***

The following is a GGA-PBE calculation of a relaxed structure of LiV3In, from Alexandria via LeMat-Bulk.

The calculation puts the total magnetization at 10.251 μB/cell. As for the total energy: -4.79 eV per atom. For the density of states at the Fermi level, the calculation gives 2.7962 states/eV/atom. The excess energy over the best structure of this formula in the dataset is 0.6406 eV/atom.

The space group is Pm-3m (No. 221) and the conventional cell measures 5.173, 5.173 and 5.173 Å, with angles of 90.00, 90.00 and 90.00 degrees. Symmetry generates all atoms from Li at (0.000, 0.000, 0.000), V at (0.000, 0.500, 0.500) and In at (0.500, 0.500, 0.500).

***

The following is a GGA-PBE calculation of a relaxed structure of LiVIn2, from Alexandria via LeMat-Bulk.

The calculation puts the total magnetization at 2.288 μB/cell. As for the total energy: -4.10 eV per atom. For the density of states at the Fermi level, the calculation gives 0.7865 states/eV/atom. The excess energy over the best structure of this formula in the dataset is 0.0270 eV/atom.

The space group is P4/mmm (No. 123) and the conventional cell measures 3.345, 3.345 and 6.665 Å, with angles of 90.00, 90.00 and 90.00 degrees. Symmetry generates all atoms from Li at (0.000, 0.000, 0.000), V at (0.000, 0.000, 0.500) and In at (0.500, 0.500, 0.245).

***

The following is a GGA-PBE calculation of a relaxed structure of LiVIn, from Alexandria via LeMat-Bulk.

The calculation puts the total magnetization at 0.000 μB/cell. As for the total energy: -4.53 eV per atom. For the density of states at the Fermi level, the calculation gives 0.7611 states/eV/atom.

The space group is P1 (No. 1) and the conventional cell measures 2.891, 2.903 and 13.438 Å, with angles of 89.85, 89.83 and 73.06 degrees. Symmetry generates all atoms from Li at (0.000, 0.000, 0.000), Li at (0.497, 0.496, 0.183), V at (0.488, 0.488, 0.526), V at (0.987, 0.987, 0.657), In at (0.498, 0.498, 0.830) and In at (0.994, 0.994, 0.353).

***

Question: The highest density of states at the Fermi level belongs to which entry?
Answer: number 2